Computed, not measured: an optimized crystal structure of MnHgSe2 at the GGA-PBE level of DFT.

Cell lengths 4.3163, 4.3163, 20.8573 Å; angles 90.00, 90.00, 120.00 degrees
Space group R3m (No. 160, hexagonal axes)
Inequivalent atoms, fractional coordinates:
1 Mn 0.0000 0.0000 0.0000 (multiplicity 3)
2 Hg 0.0000 0.0000 0.4963 (multiplicity 3)
3 Se 0.0000 0.0000 0.3668 (multiplicity 3)
4 Se 0.0000 0.0000 0.8790 (multiplicity 3)

Computed properties:
**Final energy**: -4.401 eV/atom
**Energy relative to the elements, uncorrected**: -0.2911 eV/atom

Computed, not measured: an optimized crystal structure of Mn2HgSe at the GGA-PBE level of DFT.

Cell lengths 3.1490, 3.1490, 26.7121 Å; angles 90.00, 90.00, 120.00 degrees
Space group R3m (No. 160, hexagonal axes)
Inequivalent atoms, fractional coordinates:
1 Mn 0.0000 0.0000 0.0000 (multiplicity 3)
2 Mn 0.0000 0.0000 0.2607 (multiplicity 3)
3 Hg 0.0000 0.0000 0.5062 (multiplicity 3)
4 Se 0.0000 0.0000 0.7228 (multiplicity 3)

Computed properties:
**Final energy**: -5.392 eV/atom
**Energy relative to the elements, uncorrected**: 0.1391 eV/atom

Computed, not measured: an optimized crystal structure of MnHgSe2 at the GGA-PBE level of DFT.

Cell lengths 11.675, 3.519, 5.481 Å; angles 90.00, 104.36, 90.00 degrees
Space group Cm (No. 8)
Inequivalent atoms, fractional coordinates:
1 Mn 0.000 0.000 0.000 (multiplicity 2)
2 Hg 0.304 0.500 0.155 (multiplicity 2)
3 Se 0.101 0.500 0.289 (multiplicity 2)
4 Se 0.404 0.000 0.725 (multiplicity 2)

Computed properties:
**Final energy**: -4.306 eV/atom
**Energy relative to the elements, uncorrected**: -0.1954 eV/atom

Computed, not measured: an optimized crystal structure of MnHgSe2 at the GGA-PBE level of DFT.

Cell lengths 11.414, 11.416, 5.405 Å; angles 90.00, 90.00, 90.00 degrees
Space group Fdd2 (No. 43)
Inequivalent atoms, fractional coordinates:
1 Mn 0.000 0.000 0.000 (multiplicity 8)
2 Hg 0.000 0.000 0.500 (multiplicity 8)
3 Se 0.067 0.183 0.125 (multiplicity 16)

Computed properties:
**Final energy**: -4.093 eV/atom
**Energy relative to the elements, uncorrected**: 0.0166 eV/atom

Computed, not measured: an optimized crystal structure of MnHgSe2 at the GGA-PBE level of DFT.

Cell lengths 5.905, 7.574, 3.809 Å; angles 90.00, 90.00, 90.00 degrees
Space group Cmmm (No. 65)
Inequivalent atoms, fractional coordinates:
1 Mn 0.000 0.000 0.000 (multiplicity 2)
2 Hg 0.000 0.500 0.000 (multiplicity 2)
3 Se 0.250 0.250 0.500 (multiplicity 4)

Computed properties:
**Final energy**: -3.895 eV/atom
**Energy relative to the elements, uncorrected**: 0.2155 eV/atom

Computed, not measured: an optimized crystal structure of MnHgSe2 at the GGA-PBE level of DFT.

Cell lengths 3.425, 4.473, 5.663 Å; angles 90.00, 90.00, 90.00 degrees
Space group Pmmm (No. 47)
Inequivalent atoms, fractional coordinates:
1 Mn 0.000 0.000 0.000 (multiplicity 1)
2 Hg 0.500 0.500 0.000 (multiplicity 1)
3 Se 0.000 0.500 0.500 (multiplicity 1)
4 Se 0.500 0.000 0.500 (multiplicity 1)

Computed properties:
**Final energy**: -3.748 eV/atom
**Energy relative to the elements, uncorrected**: 0.3625 eV/atom

Computed, not measured: an optimized crystal structure of MnHgSe2 at the GGA-PBE level of DFT.

Cell lengths 6.343, 6.343, 10.189 Å; angles 90.00, 90.00, 90.00 degrees
Space group I-42d (No. 122)
Inequivalent atoms, fractional coordinates:
1 Mn 0.000 0.000 0.000 (multiplicity 4)
2 Hg 0.000 0.000 0.500 (multiplicity 4)
3 Se 0.154 0.250 0.125 (multiplicity 8)

Computed properties:
**Final energy**: -4.101 eV/atom
**Energy relative to the elements, uncorrected**: 0.0095 eV/atom

Computed, not measured: an optimized crystal structure of Mn2HgSe at the GGA-PBE level of DFT.

Cell lengths 3.543, 4.479, 4.599 Å; angles 90.00, 90.00, 90.00 degrees
Space group Pmmm (No. 47)
Inequivalent atoms, fractional coordinates:
1 Mn 0.000 0.000 0.000 (multiplicity 1)
2 Mn 0.000 0.500 0.500 (multiplicity 1)
3 Hg 0.500 0.000 0.500 (multiplicity 1)
4 Se 0.500 0.500 0.000 (multiplicity 1)

Computed properties:
**Final energy**: -5.265 eV/atom
**Energy relative to the elements, uncorrected**: 0.2666 eV/atom

What did the fourth record say?
Computed, not measured: an optimized crystal structure of MnHgSe2 at the GGA-PBE level of DFT.

Cell lengths 11.414, 11.416, 5.405 Å; angles 90.00, 90.00, 90.00 degrees
Space group Fdd2 (No. 43)
Inequivalent atoms, fractional coordinates:
1 Mn 0.000 0.000 0.000 (multiplicity 8)
2 Hg 0.000 0.000 0.500 (multiplicity 8)
3 Se 0.067 0.183 0.125 (multiplicity 16)

Computed properties:
**Final energy**: -4.093 eV/atom
**Energy relative to the elements, uncorrected**: 0.0166 eV/atom

Question: Which of these has the highest energy relative to the elements, uncorrected?
Answer: number 6

Question: What is the final energy in the eighth record?
Answer: -5.265 eV/atom

Question: What is the formula in the seventh record?
Answer: MnHgSe2